A plane-wave DFT calculation with GGA-PBE was carried out for Al2CdBSb after structural relaxation.

Its size of the total moment is 0.00 μB/atom. Its total energy is -3.53 eV per atom. The uncorrected formation energy is 152 kJ/mol of formula units.

The space group is P4/mmm (No. 123) and the conventional cell measures 4.301, 4.301 and 4.977 Å, with angles of 90.00, 90.00 and 90.00 degrees. The asymmetric unit holds Al at (0.000, 0.500, 0.000), Cd at (0.000, 0.000, 0.500), B at (0.000, 0.000, 0.000) and Sb at (0.500, 0.500, 0.500).